Y6GePd2 | PBE-GGA | relaxed

Properties
Its total energy is -0.48037 Ry/atom. Its calculated volume is 25.83 Å³/atom. As for the space group: P-62m. As for the total moment: 0.021 μB/atom.

abc: 7.882 7.882 4.321
angles: 90.00 90.00 120.00
Fractional positions:
Y 0.399 0.000 0.500
Y 0.736 0.000 0.000
Y 0.601 0.601 0.500
Y 0.264 0.264 0.000
Y 0.000 0.399 0.500
Y 0.000 0.736 0.000
Pd 0.333 0.667 0.000
Pd 0.667 0.333 0.000
Ge 0.000 0.000 0.500